No. 1
Sn3SbSe2I5 after structural relaxation, computed with GGA-PBE.

Lattice parameters (Å, degrees): 7.7345 7.7345 13.5823 78.75 78.75 32.23
Closest atoms and distances in Å follow each position.
Fractional positions:
I1 0.2862 0.2862 0.8498  2 Sn 3.10
Se1 0.2405 0.2405 0.3828  1 Sb 2.62, 1 Sn 2.80
Se2 0.7466 0.7466 0.6124  3 Sn 2.74-2.82
Sn1 0.6162 0.6162 0.4960  3 Se 2.74-3.04
Sn2 0.3558 0.3558 0.5220  3 Se 2.80-2.82
I2 0.0213 0.0213 0.9889  2 Sn 3.21
I3 0.9717 0.9717 0.3057  2 Sb 3.15
I4 0.0197 0.0197 0.6534  2 Sn 3.16
Sn3 0.6383 0.6383 0.8397  4 I 3.10-3.21, 1 Se 3.18
Sb1 0.3591 0.3591 0.2116  1 Se 2.62
I5 0.7447 0.7447 0.1378  2 Sb 3.03

Output
Uncorrected formation energy (meV/atom): -369
Symmetry: Cm (8)

---

No. 2
TlRu4Cl after structural relaxation, computed with GGA-PBE.

Lattice parameters (Å, degrees): 5.3072 5.3072 5.3072 60.00 60.00 60.00
Closest atoms and distances in Å follow each position.
Fractional positions:
Ru1 0.3741 0.3741 0.3741  6 Ru 2.63-2.67
Ru2 0.8778 0.3741 0.3741  6 Ru 2.63-2.67
Tl1 0.7500 0.7500 0.7500  12 Ru 3.11, 4 Cl 3.25
Ru3 0.3741 0.8778 0.3741  6 Ru 2.63-2.67
Cl1 0.0000 0.0000 0.0000  12 Ru 3.11, 4 Tl 3.25
Ru4 0.3741 0.3741 0.8778  6 Ru 2.63-2.67

Output
Uncorrected formation energy (meV/atom): 1003
Symmetry: F-43m (216)

---

No. 3
Li2MgBeTe after structural relaxation, computed with GGA-PBE.

Lattice parameters (Å, degrees): 4.7996 4.8658 4.7996 90.00 90.00 90.00
Closest atoms and distances in Å follow each position.
Fractional positions:
Te1 0.0000 0.5000 0.0000  2 Be 2.43
Li1 0.0000 0.0000 0.5000  2 Be 2.40
Be1 0.0000 0.0000 0.0000  4 Li 2.40, 2 Te 2.43
Mg1 0.5000 0.5000 0.5000  4 Te 3.39, 8 Li 3.42
Li2 0.5000 0.0000 0.0000  2 Be 2.40

Output
Uncorrected formation energy (meV/atom): 241
Symmetry: P4/mmm (123)

---

No. 4
Sb3CCl after structural relaxation, computed with GGA-PBE.

Lattice parameters (Å, degrees): 4.8833 4.8833 4.8833 90.00 90.00 90.00
Closest atoms and distances in Å follow each position.
Fractional positions:
Cl1 0.5000 0.5000 0.5000  12 Sb 3.45
C1 0.0000 0.0000 0.0000  6 Sb 2.44
Sb1 0.0000 0.5000 0.0000  2 C 2.44
Sb2 0.0000 0.0000 0.5000  2 C 2.44
Sb3 0.5000 0.0000 0.0000  2 C 2.44

Output
Uncorrected formation energy (meV/atom): 925
Offset from the most stable computed form (eV per atom): 0.000
Symmetry: Pm-3m (221)

---

No. 5
Ce4Bi2Rh after structural relaxation, computed with GGA-PBE.

Lattice parameters (Å, degrees): 6.7484 6.5722 9.9841 90.00 111.75 90.00
Closest atoms and distances in Å follow each position.
Fractional positions:
Ce1 0.8817 0.2500 0.5841  1 Rh 2.62
Ce2 0.9183 0.2500 0.1131  1 Rh 2.65
Bi1 0.2656 0.2500 0.4530  8 Ce 3.31-3.41
Rh1 0.1729 0.7500 0.1695  4 Ce 2.62-2.76, 1 Bi 2.83
Ce3 0.4977 0.4667 0.2493  1 Rh 2.76, 1 Ce 2.85
Bi2 0.7219 0.7500 0.0690  1 Rh 2.83
Bi3 0.2781 0.2500 0.9310  1 Rh 2.83
Ce4 0.4977 0.0333 0.2493  1 Rh 2.76, 1 Ce 2.85
Ce5 0.5023 0.9667 0.7507  1 Rh 2.76, 1 Ce 2.85
Ce6 0.0817 0.7500 0.8869  1 Rh 2.65
Ce7 0.1183 0.7500 0.4159  1 Rh 2.62
Bi4 0.7343 0.7500 0.5470  8 Ce 3.31-3.41
Ce8 0.5023 0.5333 0.7507  1 Rh 2.76, 1 Ce 2.85
Rh2 0.8271 0.2500 0.8305  4 Ce 2.62-2.76, 1 Bi 2.83

Output
Calculated formation energy (eV/atom): -0.58
Symmetry: P2_1/m (11)

---

No. 6
AgSnAuSe4 after structural relaxation, computed with GGA-PBE.

Lattice parameters (Å, degrees): 8.2037 7.8902 7.8902 62.90 58.68 58.68
Closest atoms and distances in Å follow each position.
Fractional positions:
Se1 0.2208 0.7502 0.2502  1 Ag 2.59, 1 Sn 2.68, 2 Au 2.74
Se2 0.7792 0.2498 0.7498  1 Ag 2.59, 1 Sn 2.68, 2 Au 2.74
Se3 0.2211 0.2498 0.7498  1 Ag 2.59, 1 Sn 2.68, 2 Au 2.74
Ag1 0.6130 0.6370 0.1370  4 Se 2.59-2.69
Au1 0.0000 0.0000 0.0000  6 Se 2.60-2.74
Se4 0.2434 0.7746 0.7386  1 Au 2.60, 1 Ag 2.69, 2 Sn 2.80
Sn1 0.0000 0.0000 0.5000  6 Se 2.68-2.80
Se5 0.7789 0.7502 0.2502  1 Ag 2.59, 1 Sn 2.68, 2 Au 2.74
Sn2 0.5000 0.0000 0.5000  6 Se 2.68-2.80
Se6 0.7566 0.7614 0.7254  1 Au 2.60, 1 Ag 2.69, 2 Sn 2.80
Au2 0.0000 0.5000 0.5000  6 Se 2.60-2.74
Ag2 0.3870 0.3630 0.8630  4 Se 2.59-2.69
Se7 0.2434 0.2386 0.2746  1 Au 2.60, 1 Ag 2.69, 2 Sn 2.80
Se8 0.7566 0.2254 0.2614  1 Au 2.60, 1 Ag 2.69, 2 Sn 2.80

Output
Uncorrected formation energy (meV/atom): -140
Symmetry: Imma (74)

---

What is the formula in the first record?
Sn3SbSe2I5